1.
# MgZr3N

MgZr3N after structural relaxation (PBEsol, Alexandria via LeMat-Bulk).

a b c (Å): 4.480 4.480 4.480
angles (deg): 90.00 90.00 90.00
Space group Pm-3m (No. 221)
Unique sites:
1 Mg 0.000 0.000 0.000 x1
2 Zr 0.000 0.500 0.500 x3
3 N 0.500 0.500 0.500 x1

Calculated values
Its volume is 17.98 Å³/atom. The value obtained for the formation energy (no corrections) is -820 meV per atom.

2.
# NaMg5

NaMg5 after structural relaxation (PBEsol, Alexandria via LeMat-Bulk).

a b c (Å): 8.425 8.425 8.425
angles (deg): 90.00 90.00 90.00
Space group F-43m (No. 216)
Unique sites:
1 Na 0.000 0.000 0.000 x4
2 Mg 0.124 0.124 0.376 x16
3 Mg 0.250 0.250 0.750 x4

Calculated values
Its volume is 24.92 Å³/atom. The formation enthalpy at 0 K is 0.086 eV per atom.

3.
# Na3Mg2

Na3Mg2 after structural relaxation (PBEsol, Alexandria via LeMat-Bulk).

a b c (Å): 3.3657 3.3657 43.5801
angles (deg): 90.00 90.00 120.00
Space group R-3m (No. 166, hexagonal axes)
Unique sites:
1 Na 0.0000 0.0000 0.0000 x3
2 Na 0.0000 0.0000 0.2026 x6
3 Mg 0.0000 0.0000 0.3986 x6

Calculated values
Its volume is 28.50 Å³/atom. The formation enthalpy at 0 K is 0.094 eV per atom.

4.
# Na2Mg3

Na2Mg3 after structural relaxation (PBEsol, Alexandria via LeMat-Bulk).

a b c (Å): 3.2733 3.2733 41.9920
angles (deg): 90.00 90.00 120.00
Space group R-3m (No. 166, hexagonal axes)
Unique sites:
1 Na 0.0000 0.0000 0.0986 x6
2 Mg 0.0000 0.0000 0.3030 x6
3 Mg 0.0000 0.0000 0.5000 x3

Calculated values
Its volume is 25.98 Å³/atom. The formation enthalpy at 0 K is 0.086 eV per atom.

5.
# NaMg8

NaMg8 after structural relaxation (PBEsol, Alexandria via LeMat-Bulk).

a b c (Å): 11.256 11.256 3.327
angles (deg): 90.00 90.00 90.00
Space group I4/mmm (No. 139)
Unique sites:
1 Na 0.000 0.000 0.000 x2
2 Mg 0.000 0.333 0.000 x8
3 Mg 0.171 0.171 0.500 x8

Calculated values
Its volume is 23.42 Å³/atom. The formation enthalpy at 0 K is 0.060 eV per atom.

6.
# Na2Mg3

Na2Mg3 after structural relaxation (PBEsol, Alexandria via LeMat-Bulk).

a b c (Å): 11.319 29.586 3.128
angles (deg): 90.00 90.00 90.00
Space group Fdd2 (No. 43)
Unique sites:
1 Na 0.002 0.303 0.000 x16
2 Mg 0.000 0.000 0.486 x8
3 Mg 0.003 0.403 0.489 x16

Calculated values
Its volume is 26.18 Å³/atom. The formation enthalpy at 0 K is 0.110 eV per atom.

7.
# NaMg

NaMg after structural relaxation (PBEsol, Alexandria via LeMat-Bulk).

a b c (Å): 3.3047 3.3047 11.4599
angles (deg): 90.00 90.00 120.00
Space group P6_3/mmc (No. 194)
Unique sites:
1 Na 0.0000 0.0000 0.0000 x2
2 Mg 0.3333 0.6667 0.2500 x2

Calculated values
Its volume is 27.10 Å³/atom. The formation enthalpy at 0 K is 0.103 eV per atom.

8.
# NaMgNb2Tc

NaMgNb2Tc after structural relaxation (PBEsol, Alexandria via LeMat-Bulk).

a b c (Å): 4.758 4.758 5.254
angles (deg): 90.00 90.00 90.00
Space group P4/mmm (No. 123)
Unique sites:
1 Na 0.000 0.000 0.000 x1
2 Mg 0.500 0.500 0.000 x1
3 Nb 0.000 0.500 0.500 x2
4 Tc 0.500 0.500 0.500 x1

Calculated values
Its volume is 23.79 Å³/atom. The formation enthalpy at 0 K is 0.928 eV per atom.

9.
# Na4Mg3P4O15

Na4Mg3P4O15 after structural relaxation (PBEsol, Alexandria via LeMat-Bulk).

a b c (Å): 18.011 10.520 6.528
angles (deg): 90.00 90.00 90.00
Space group Pna2_1 (No. 33)
Unique sites:
1 Na 0.007 0.024 0.000 x4
2 Na 0.038 0.459 0.143 x4
3 Na 0.107 0.736 0.390 x4
4 Na 0.206 0.252 0.968 x4
5 Mg 0.139 0.007 0.720 x4
6 Mg 0.167 0.496 0.710 x4
7 Mg 0.240 0.756 0.988 x4
8 P 0.051 0.272 0.671 x4
9 P 0.069 0.736 0.860 x4
10 P 0.180 0.012 0.228 x4
11 P 0.209 0.497 0.216 x4
12 O 0.008 0.353 0.822 x4
13 O 0.013 0.301 0.446 x4
14 O 0.045 0.129 0.708 x4
15 O 0.060 0.864 0.749 x4
16 O 0.085 0.628 0.711 x4
17 O 0.124 0.741 0.036 x4
18 O 0.127 0.987 0.408 x4
19 O 0.132 0.313 0.646 x4
20 O 0.136 0.044 0.031 x4
21 O 0.158 0.525 0.399 x4
22 O 0.162 0.464 0.026 x4
23 O 0.232 0.894 0.203 x4
24 O 0.235 0.885 0.755 x4
25 O 0.237 0.123 0.264 x4
26 O 0.238 0.113 0.686 x4

Calculated values
Its volume is 11.89 Å³/atom. The value obtained for the formation energy (no corrections) is -2463 meV per atom.

10.
# NaMgPO4

NaMgPO4 after structural relaxation (PBEsol, Alexandria via LeMat-Bulk).

a b c (Å): 6.824 8.818 15.297
angles (deg): 90.00 90.00 90.00
Space group P2_12_12_1 (No. 19)
Unique sites:
1 Na 0.018 0.102 0.322 x4
2 Na 0.033 0.099 0.989 x4
3 Na 0.050 0.609 0.842 x4
4 Mg 0.199 0.263 0.510 x4
5 Mg 0.206 0.771 0.653 x4
6 Mg 0.225 0.753 0.329 x4
7 P 0.006 0.434 0.683 x4
8 P 0.029 0.430 0.014 x4
9 P 0.037 0.929 0.151 x4
10 O 0.006 0.373 0.588 x4
11 O 0.018 0.111 0.817 x4
12 O 0.022 0.107 0.148 x4
13 O 0.022 0.369 0.918 x4
14 O 0.040 0.870 0.246 x4
15 O 0.041 0.608 0.016 x4
16 O 0.142 0.363 0.397 x4
17 O 0.154 0.882 0.435 x4
18 O 0.170 0.864 0.769 x4
19 O 0.196 0.395 0.733 x4
20 O 0.213 0.365 0.058 x4
21 O 0.224 0.886 0.101 x4

Calculated values
Its volume is 10.96 Å³/atom. The value obtained for the formation energy (no corrections) is -2501 meV per atom.

11.
# NaMg2S3O12

NaMg2S3O12 after structural relaxation (PBEsol, Alexandria via LeMat-Bulk).

a b c (Å): 14.904 8.602 8.898
angles (deg): 90.00 123.92 90.00
Space group C2/c (No. 15)
Unique sites:
1 Na 0.250 0.250 0.000 x4
2 Mg 0.102 0.250 0.556 x8
3 S 0.000 0.045 0.750 x4
4 S 0.147 0.397 0.250 x8
5 O 0.049 0.340 0.085 x8
6 O 0.061 0.050 0.414 x8
7 O 0.078 0.148 0.744 x8
8 O 0.151 0.359 0.414 x8
9 O 0.156 0.431 0.743 x8
10 O 0.241 0.328 0.257 x8

Calculated values
Its volume is 13.15 Å³/atom. The value obtained for the formation energy (no corrections) is -1810 meV per atom.

12.
# NaMg30SbO32

NaMg30SbO32 after structural relaxation (PBEsol, Alexandria via LeMat-Bulk).

a b c (Å): 8.524 8.524 8.523
angles (deg): 90.00 90.00 90.00
Space group P4/mmm (No. 123)
Unique sites:
1 Na 0.000 0.000 0.000 x1
2 Mg 0.000 0.000 0.500 x1
3 Mg 0.000 0.247 0.249 x8
4 Mg 0.000 0.500 0.000 x2
5 Mg 0.000 0.500 0.500 x2
6 Mg 0.242 0.242 0.000 x4
7 Mg 0.243 0.500 0.256 x8
8 Mg 0.248 0.248 0.500 x4
9 Mg 0.500 0.500 0.500 x1
10 Sb 0.500 0.500 0.000 x1
11 O 0.000 0.000 0.263 x2
12 O 0.000 0.252 0.500 x4
13 O 0.000 0.262 0.000 x4
14 O 0.000 0.500 0.254 x4
15 O 0.239 0.500 0.000 x4
16 O 0.250 0.500 0.500 x4
17 O 0.251 0.251 0.249 x8
18 O 0.500 0.500 0.263 x2

Calculated values
Its volume is 9.68 Å³/atom. The value obtained for the formation energy (no corrections) is -2621 meV per atom.